Below is an optimized crystal structure of K2PmNdSe4, with properties calculated at the PBE level. Values from VASP.

Cell and atoms, written as Quantum ESPRESSO input:
```
&SYSTEM
  ibrav = 0, nat = 8, ntyp = 4
/
ATOMIC_SPECIES
Pm 145.00 Pm.upf
Se 78.96 Se.upf
K 39.10 K.upf
Nd 144.24 Nd.upf
CELL_PARAMETERS angstrom
-0.079 2.229 3.718
-5.097 -4.776 2.754
7.354 -2.842 1.861
ATOMIC_POSITIONS angstrom
Pm -2.588 -1.273 3.236
Se 1.882 -4.765 5.425
Se -2.202 -4.108 2.416
K 1.128 -3.809 2.308
Se 4.459 -3.510 2.199
Nd 0.000 0.000 0.000
Se 0.295 -0.623 2.908
K 3.637 -0.306 2.789
```

The value obtained for the formation energy (no corrections) is -1.76 eV/atom. The value obtained for the density of states at the Fermi level is 0.00 states/eV/f.u. For the total energy, the calculation gives -4.963 eV per atom. The space group is No. 10.


Below is an optimized crystal structure of Sm2DyPa, with properties calculated at the PBE level. Values from VASP.

Cell and atoms, written as Quantum ESPRESSO input:
```
&SYSTEM
  ibrav = 0, nat = 4, ntyp = 3
/
ATOMIC_SPECIES
Sm 150.36 Sm.upf
Dy 162.50 Dy.upf
Pa 231.04 Pa.upf
CELL_PARAMETERS angstrom
-2.970 1.091 -1.329
0.829 -1.416 -3.014
-4.551 -8.846 2.905
ATOMIC_POSITIONS angstrom
Sm -3.492 -6.787 2.229
Dy -3.346 -4.585 -0.719
Pa -1.071 -0.162 -2.172
Sm -1.059 -2.059 0.676
```

The value obtained for the density of states at the Fermi level is 6.25 states/eV/f.u. For the total energy, the calculation gives -5.730 eV per atom. The space group is No. 123. For the formation energy, the calculation gives 0.1544 eV/atom.


Below is an optimized crystal structure of La2FeReH, with properties calculated at the PBE level. Values from VASP.

Cell and atoms, written as Quantum ESPRESSO input:
```
&SYSTEM
  ibrav = 0, nat = 5, ntyp = 4
/
ATOMIC_SPECIES
Re 186.21 Re.upf
La 138.91 La.upf
Fe 55.84 Fe.upf
H 1.01 H.upf
CELL_PARAMETERS angstrom
-0.548 -2.685 4.318
2.149 -2.588 -1.337
4.080 2.361 1.986
ATOMIC_POSITIONS angstrom
Re 1.074 -1.294 -0.668
La 2.040 1.180 0.993
Fe 2.840 -1.456 2.484
H 0.000 0.000 0.000
La -0.274 -1.343 2.159
```

The value obtained for the density of states at the Fermi level is 6.98 states/eV/f.u. For the total energy, the calculation gives -6.451 eV per atom. The space group is No. 123.


Please write out number 3 again, unchanged.
Below is an optimized crystal structure of La2FeReH, with properties calculated at the PBE level. Values from VASP.

Cell and atoms, written as Quantum ESPRESSO input:
```
&SYSTEM
  ibrav = 0, nat = 5, ntyp = 4
/
ATOMIC_SPECIES
Re 186.21 Re.upf
La 138.91 La.upf
Fe 55.84 Fe.upf
H 1.01 H.upf
CELL_PARAMETERS angstrom
-0.548 -2.685 4.318
2.149 -2.588 -1.337
4.080 2.361 1.986
ATOMIC_POSITIONS angstrom
Re 1.074 -1.294 -0.668
La 2.040 1.180 0.993
Fe 2.840 -1.456 2.484
H 0.000 0.000 0.000
La -0.274 -1.343 2.159
```

The value obtained for the density of states at the Fermi level is 6.98 states/eV/f.u. For the total energy, the calculation gives -6.451 eV per atom. The space group is No. 123.


Question: Number 3 is which compound?
Answer: La2FeReH


Question: Which formula does entry 2 have?
Answer: Sm2DyPa